Entry 1:
The following is a DFT calculation (PBE-GGA) of an optimized crystal structure of LuPuS2.

Values from the calculation:
Formation energy without anion corrections ... -1.861 eV per atom
V ... 20.71 Å³/atom
Final energy ... -103.66 eV/cell
Total magnetization ... 5.81 μB per formula unit
DOS(E_F) ... 1.740 states/eV/atom
Calculated density ... 9.7 g/cm³

Cell lengths 3.8520, 3.8520, 19.3396 Å; angles 90.00, 90.00, 120.00 degrees
Space group R-3m (No. 166, hexagonal axes)
Inequivalent atoms, fractional coordinates:
Lu 0.0000 0.0000 0.0000 x3
Pu 0.0000 0.0000 0.5000 x3
S 0.0000 0.0000 0.2543 x6

Entry 2:
The following is a DFT calculation (PBE-GGA) of an optimized crystal structure of Lu5Pu3S12.

Values from the calculation:
Formation energy without anion corrections ... -1.737 eV per atom
V ... 25.32 Å³/atom
Final energy ... -1198.92 eV/cell
Total magnetization ... 15.00 μB per formula unit
DOS(E_F) ... 1.585 states/eV/atom
Calculated density ... 6.5 g/cm³

Cell lengths 15.941, 15.941, 15.941 Å; angles 90.00, 90.00, 90.00 degrees
Space group Ia-3d (No. 230)
Inequivalent atoms, fractional coordinates:
Lu 0.000 0.000 0.000 x16
Lu 0.000 0.250 0.375 x24
Pu 0.000 0.250 0.125 x24
S 0.023 0.068 0.652 x96

Entry 3:
The following is a DFT calculation (PBE-GGA) of an optimized crystal structure of LuPuSb.

Values from the calculation:
Formation energy without anion corrections ... -0.411 eV per atom
V ... 26.56 Å³/atom
Final energy ... -48.42 eV/cell
Total magnetization ... 6.53 μB per formula unit
DOS(E_F) ... 2.519 states/eV/atom
Calculated density ... 11.3 g/cm³

Cell lengths 3.974, 3.974, 10.089 Å; angles 90.00, 90.00, 90.00 degrees
Space group I4mm (No. 107)
Inequivalent atoms, fractional coordinates:
Lu 0.000 0.000 0.000 x2
Pu 0.000 0.000 0.309 x2
Sb 0.000 0.000 0.644 x2

Entry 4:
The following is a DFT calculation (PBE-GGA) of an optimized crystal structure of LuPuSb2.

Values from the calculation:
Formation energy without anion corrections ... -0.606 eV per atom
V ... 26.37 Å³/atom
Final energy ... -29.52 eV/cell
Total magnetization ... 5.75 μB per formula unit
DOS(E_F) ... 3.028 states/eV/atom
Calculated density ... 10.4 g/cm³

Cell lengths 5.161, 5.161, 3.961 Å; angles 90.00, 90.00, 90.00 degrees
Space group P4/mmm (No. 123)
Inequivalent atoms, fractional coordinates:
Lu 0.000 0.000 0.000 x1
Pu 0.500 0.500 0.000 x1
Sb 0.000 0.500 0.500 x2

Entry 5:
The following is a DFT calculation (PBE-GGA) of an optimized crystal structure of LuPuSb.

Values from the calculation:
Formation energy without anion corrections ... -0.287 eV per atom
V ... 28.27 Å³/atom
Final energy ... -23.84 eV/cell
Total magnetization ... 6.35 μB per formula unit
DOS(E_F) ... 2.840 states/eV/atom
Calculated density ... 10.6 g/cm³

Cell lengths 5.0686, 5.0686, 3.8116 Å; angles 90.00, 90.00, 120.00 degrees
Space group P3m1 (No. 156)
Inequivalent atoms, fractional coordinates:
Lu 0.0000 0.0000 0.0000 x1
Pu 0.6667 0.3333 0.4945 x1
Sb 0.3333 0.6667 0.9840 x1

Entry 6:
The following is a DFT calculation (PBE-GGA) of an optimized crystal structure of LuPuSb2.

Values from the calculation:
Formation energy without anion corrections ... -0.808 eV per atom
V ... 29.48 Å³/atom
Final energy ... -90.98 eV/cell
Total magnetization ... 5.05 μB per formula unit
DOS(E_F) ... 3.441 states/eV/atom
Calculated density ... 9.3 g/cm³

Cell lengths 4.3807, 4.3807, 21.2829 Å; angles 90.00, 90.00, 120.00 degrees
Space group R-3m (No. 166, hexagonal axes)
Inequivalent atoms, fractional coordinates:
Lu 0.0000 0.0000 0.0000 x3
Pu 0.0000 0.0000 0.5000 x3
Sb 0.0000 0.0000 0.2521 x6